! UNi4Ge PBE relaxed; values from VASP
&SYSTEM
  ibrav = 0, nat = 6, ntyp = 3
/
ATOMIC_SPECIES
U 238.03 U.upf
Ni 58.69 Ni.upf
Ge 72.64 Ge.upf
CELL_PARAMETERS angstrom
0.000 3.454 3.454
3.454 0.000 3.454
3.454 3.454 0.000
ATOMIC_POSITIONS crystal
U 0.000 0.000 0.000
Ni 0.127 0.624 0.624
Ni 0.624 0.127 0.624
Ni 0.624 0.624 0.127
Ni 0.624 0.624 0.624
Ge 0.250 0.250 0.250
! - ΔE_f (kJ/mol of atoms) = -23.7
! - ΔE to the lowest computed polymorph (eV per atom) = 0.000
! - final energy (eV/atom) = -6.75